[1]
DFT (PBE) results for an optimized crystal structure of Ba3Si2Ge2.

Output
- calculated total energy (eV/atom) = -4.134
- DOS(E_F) (states/eV per atom) = 0.429

Lattice parameters (Å, degrees): 6.531 6.531 8.583 116.66 116.66 42.50
Fractional positions:
Ba (0.000, 0.000, 0.000)
Ba (0.179, 0.179, 0.631)
Ba (0.821, 0.821, 0.369)
Si (0.302, 0.302, 0.062)
Si (0.698, 0.698, 0.938)
Ge (0.492, 0.492, 0.678)
Ge (0.508, 0.508, 0.322)

=====

[2]
DFT (PBE) results for an optimized crystal structure of Ba2SiGe2.

Output
- offset from the most stable computed form (meV/atom) = 53
- DOS(E_F) (states/eV per atom) = 0.637

Lattice parameters (Å, degrees): 9.751 9.751 8.457 90.00 90.00 155.25
Fractional positions:
Ba (0.024, 0.976, 0.500)
Ba (0.231, 0.769, 0.160)
Ba (0.769, 0.231, 0.660)
Ba (0.976, 0.024, 0.000)
Si (0.378, 0.622, 0.446)
Si (0.622, 0.378, 0.946)
Ge (0.144, 0.856, 0.796)
Ge (0.408, 0.592, 0.719)
Ge (0.592, 0.408, 0.219)
Ge (0.856, 0.144, 0.296)